Entry from Alexandria: Hg2TeO4 after structural relaxation (GGA-PBE).

Geometry as CIF:
```
data_Hg2TeO4
_chemical_formula_sum 'Hg4 Te2 O8'
_space_group_name_H-M_alt 'C 1 2/m 1'
_space_group_IT_number 12
_cell_length_a 12.941
_cell_length_b 3.513
_cell_length_c 5.451
_cell_angle_alpha 90.00
_cell_angle_beta 112.10
_cell_angle_gamma 90.00
loop_
_space_group_symop_operation_xyz
'x,y,z'
'-x,-y,-z'
'-x,y,-z'
'x,-y,z'
'x+1/2,y+1/2,z'
'-x+1/2,-y+1/2,-z'
'-x+1/2,y+1/2,-z'
'x+1/2,-y+1/2,z'
loop_
_atom_site_label
_atom_site_type_symbol
_atom_site_fract_x
_atom_site_fract_y
_atom_site_fract_z
_atom_site_occupancy
Hg1 Hg 0.190 0.000 0.195 1
Te1 Te 0.000 0.500 0.500 1
O1 O 0.057 0.000 0.330 1
O2 O 0.152 0.500 0.838 1
```

energy relative to the elements, uncorrected: -482 meV per atom
energy above the lowest structure with this stoichiometry: 0.035 eV/atom
ρ: 8.6 Mg/m³